P:
Sr2Ni2Ru after structural relaxation. Source: Alexandria, functional PBE.

Values from the calculation:
As for the space-group type: P4/mbm (127).

a = 6.613 Å, b = 6.613 Å, c = 4.751 Å
α = 90.00°, β = 90.00°, γ = 90.00°
Fractional positions:
Sr 0.184 0.316 0.000
Sr 0.316 0.816 0.000
Sr 0.684 0.184 0.000
Sr 0.816 0.684 0.000
Ni 0.129 0.629 0.500
Ni 0.371 0.129 0.500
Ni 0.629 0.871 0.500
Ni 0.871 0.371 0.500
Ru 0.000 0.000 0.500
Ru 0.500 0.500 0.500

---

Q:
Sr2Ni2Ru after structural relaxation. Source: Alexandria, functional PBE.

Values from the calculation:
As for the space-group type: I4/mmm (139).

a = 5.430 Å, b = 5.430 Å, c = 5.430 Å
α = 115.17°, β = 115.17°, γ = 98.58°
Fractional positions:
Sr 0.250 0.750 0.500
Sr 0.750 0.250 0.500
Ni 0.163 0.163 0.000
Ni 0.837 0.837 0.000
Ru 0.500 0.500 0.000

---

Pick P: it beats the second-best structure by 19.8 kJ/mol of atoms.

---

P:
TaNiRu3 after structural relaxation. Source: Alexandria, functional PBE.

Values from the calculation:
As for the space-group type: Pm-3m (221).

a = 4.689 Å, b = 4.689 Å, c = 4.689 Å
α = 90.00°, β = 90.00°, γ = 90.00°
Fractional positions:
Ta 0.000 0.000 0.000
Ni 0.500 0.500 0.500
Ru 0.000 0.000 0.500
Ru 0.000 0.500 0.000
Ru 0.500 0.000 0.000

---

Q:
TaNiRu3 after structural relaxation. Source: Alexandria, functional PBE.

Values from the calculation:
As for the space-group type: Pm-3m (221).

a = 4.369 Å, b = 4.369 Å, c = 4.369 Å
α = 90.00°, β = 90.00°, γ = 90.00°
Fractional positions:
Ta 0.000 0.000 0.000
Ni 0.500 0.500 0.500
Ru 0.000 0.500 0.500
Ru 0.500 0.000 0.500
Ru 0.500 0.500 0.000

---

Pick Q: it beats the second-best structure by 54.7 kJ/mol of atoms.

---

P:
TaZnNiRu after structural relaxation. Source: Alexandria, functional PBE.

Values from the calculation:
As for the space-group type: F-43m (216).

a = 4.319 Å, b = 4.319 Å, c = 4.319 Å
α = 60.00°, β = 60.00°, γ = 60.00°
Fractional positions:
Ta 0.000 0.000 0.000
Zn 0.500 0.500 0.500
Ni 0.750 0.750 0.750
Ru 0.250 0.250 0.250

---

Q:
TaZnNiRu after structural relaxation. Source: Alexandria, functional PBE.

Values from the calculation:
As for the space-group type: I-4m2 (119).

a = 4.484 Å, b = 4.484 Å, c = 4.484 Å
α = 126.25°, β = 126.25°, γ = 79.47°
Fractional positions:
Ta 0.000 0.000 0.000
Zn 0.500 0.500 0.000
Ni 0.750 0.250 0.500
Ru 0.250 0.750 0.500

---

Pick Q: it beats the second-best structure by 2.9 kJ/mol of atoms.

---

P:
TbNiRu after structural relaxation. Source: Alexandria, functional PBE.

Values from the calculation:
As for the space-group type: R-3m (166).

a = 13.348 Å, b = 13.348 Å, c = 13.348 Å
α = 22.46°, β = 22.46°, γ = 22.46°
Fractional positions:
Tb 0.042 0.042 0.042
Tb 0.180 0.180 0.180
Tb 0.262 0.262 0.262
Tb 0.738 0.738 0.738
Tb 0.820 0.820 0.820
Tb 0.958 0.958 0.958
Ni 0.221 0.721 0.721
Ni 0.279 0.279 0.779
Ni 0.279 0.779 0.279
Ni 0.721 0.221 0.721
Ni 0.721 0.721 0.221
Ni 0.779 0.279 0.279
Ru 0.000 0.500 0.500
Ru 0.391 0.391 0.391
Ru 0.500 0.000 0.500
Ru 0.500 0.500 0.000
Ru 0.500 0.500 0.500
Ru 0.609 0.609 0.609

---

Q:
TbNiRu after structural relaxation. Source: Alexandria, functional PBE.

Values from the calculation:
As for the space-group type: Imma (74).

a = 5.263 Å, b = 5.263 Å, c = 5.263 Å
α = 121.67°, β = 121.17°, γ = 87.55°
Fractional positions:
Tb 0.372 0.122 0.250
Tb 0.628 0.878 0.750
Ni 0.000 0.500 0.500
Ni 0.500 0.500 0.000
Ru 0.000 0.000 0.500
Ru 0.000 0.500 0.000

---

Pick Q: it beats the second-best structure by 3.6 kJ/mol of atoms.

---

P:
Tb4NiRu after structural relaxation. Source: Alexandria, functional PBE.

Values from the calculation:
As for the space-group type: I4/mcm (140).

a = 7.972 Å, b = 7.972 Å, c = 7.972 Å
α = 129.56°, β = 129.56°, γ = 74.12°
Fractional positions:
Tb 0.054 0.554 0.866
Tb 0.188 0.054 0.500
Tb 0.312 0.812 0.866
Tb 0.446 0.312 0.500
Tb 0.554 0.688 0.500
Tb 0.688 0.188 0.134
Tb 0.812 0.946 0.500
Tb 0.946 0.446 0.134
Ni 0.000 0.000 0.000
Ni 0.500 0.500 0.000
Ru 0.250 0.250 0.000
Ru 0.750 0.750 0.000

---

Q:
Tb4NiRu after structural relaxation. Source: Alexandria, functional PBE.

Values from the calculation:
As for the space-group type: P2_1/c (14).

a = 6.780 Å, b = 6.802 Å, c = 6.785 Å
α = 90.00°, β = 90.08°, γ = 90.00°
Fractional positions:
Tb 0.163 0.161 0.163
Tb 0.163 0.339 0.663
Tb 0.335 0.665 0.164
Tb 0.335 0.835 0.664
Tb 0.665 0.165 0.336
Tb 0.665 0.335 0.836
Tb 0.837 0.661 0.337
Tb 0.837 0.839 0.837
Ni 0.500 0.000 0.000
Ni 0.500 0.500 0.500
Ru 0.000 0.000 0.500
Ru 0.000 0.500 0.000

---

Pick Q: it beats the second-best structure by 1.6 kJ/mol of atoms.

---

P:
TbThNiRu after structural relaxation. Source: Alexandria, functional PBE.

Values from the calculation:
As for the space-group type: F-43m (216).

a = 4.913 Å, b = 4.913 Å, c = 4.913 Å
α = 60.00°, β = 60.00°, γ = 60.00°
Fractional positions:
Tb 0.000 0.000 0.000
Th 0.500 0.500 0.500
Ni 0.750 0.750 0.750
Ru 0.250 0.250 0.250

---

Q:
TbThNiRu after structural relaxation. Source: Alexandria, functional PBE.

Values from the calculation:
As for the space-group type: Amm2 (38).

a = 4.060 Å, b = 5.816 Å, c = 5.816 Å
α = 38.76°, β = 90.00°, γ = 90.00°
Fractional positions:
Tb 0.000 0.000 0.000
Th 0.500 0.725 0.725
Ni 0.500 0.442 0.442
Ru 0.000 0.275 0.275

---

Pick Q: it beats the second-best structure by 10.9 kJ/mol of atoms.

---

P:
TbYNiRu after structural relaxation. Source: Alexandria, functional PBE.

Values from the calculation:
As for the space-group type: F-43m (216).

a = 4.816 Å, b = 4.816 Å, c = 4.816 Å
α = 60.00°, β = 60.00°, γ = 60.00°
Fractional positions:
Tb 0.000 0.000 0.000
Y 0.500 0.500 0.500
Ni 0.250 0.250 0.250
Ru 0.750 0.750 0.750

---

Q:
TbYNiRu after structural relaxation. Source: Alexandria, functional PBE.

Values from the calculation:
As for the space-group type: Pmmm (47).

a = 3.417 Å, b = 4.804 Å, c = 4.817 Å
α = 90.00°, β = 90.00°, γ = 90.00°
Fractional positions:
Tb 0.000 0.000 0.000
Y 0.000 0.500 0.500
Ni 0.500 0.000 0.500
Ru 0.500 0.500 0.000

---

Pick P: it beats the second-best structure by 0.8 kJ/mol of atoms.

---

P:
TcNiRu2 after structural relaxation. Source: Alexandria, functional PBE.

Values from the calculation:
As for the space-group type: Cmmm (65).

a = 4.602 Å, b = 4.602 Å, c = 2.695 Å
α = 90.00°, β = 90.00°, γ = 109.02°
Fractional positions:
Tc 0.000 0.000 0.000
Ni 0.500 0.500 0.000
Ru 0.000 0.500 0.500
Ru 0.500 0.000 0.500

---

Q:
TcNiRu2 after structural relaxation. Source: Alexandria, functional PBE.

Values from the calculation:
As for the space-group type: P4/mmm (123).

a = 3.096 Å, b = 3.096 Å, c = 5.641 Å
α = 90.00°, β = 90.00°, γ = 90.00°
Fractional positions:
Tc 0.000 0.000 0.000
Ni 0.000 0.000 0.500
Ru 0.500 0.500 0.271
Ru 0.500 0.500 0.729

---

Pick P: it beats the second-best structure by 11.1 kJ/mol of atoms.

---

P:
TcNiRu2 after structural relaxation. Source: Alexandria, functional PBE.

Values from the calculation:
As for the space-group type: Pmmm (47).

a = 2.746 Å, b = 4.452 Å, c = 4.487 Å
α = 90.00°, β = 90.00°, γ = 90.00°
Fractional positions:
Tc 0.000 0.000 0.000
Ni 0.500 0.000 0.500
Ru 0.000 0.500 0.500
Ru 0.500 0.500 0.000

---

Q:
TcNiRu2 after structural relaxation. Source: Alexandria, functional PBE.

Values from the calculation:
As for the space-group type: Fm-3m (225).

a = 4.255 Å, b = 4.255 Å, c = 4.255 Å
α = 60.00°, β = 60.00°, γ = 60.00°
Fractional positions:
Tc 0.000 0.000 0.000
Ni 0.500 0.500 0.500
Ru 0.250 0.250 0.250
Ru 0.750 0.750 0.750

---

R:
TcNiRu2 after structural relaxation. Source: Alexandria, functional PBE.

Values from the calculation:
As for the space-group type: P4/mmm (123).

a = 2.693 Å, b = 2.693 Å, c = 7.417 Å
α = 90.00°, β = 90.00°, γ = 90.00°
Fractional positions:
Tc 0.000 0.000 0.000
Ni 0.000 0.000 0.500
Ru 0.500 0.500 0.258
Ru 0.500 0.500 0.742

---

S:
TcNiRu2 after structural relaxation. Source: Alexandria, functional PBE.

Values from the calculation:
As for the space-group type: Immm (71).

a = 5.169 Å, b = 5.169 Å, c = 5.169 Å
α = 148.81°, β = 130.34°, γ = 59.82°
Fractional positions:
Tc 0.000 0.000 0.000
Ni 0.500 0.500 0.000
Ru 0.275 0.775 0.500
Ru 0.725 0.225 0.500

---

Pick R: it beats the second-best structure by 15.8 kJ/mol of atoms.

---

P:
TcNiRu2 after structural relaxation. Source: Alexandria, functional PBE.

Values from the calculation:
As for the space-group type: R3m (160).

a = 8.622 Å, b = 8.622 Å, c = 8.622 Å
α = 18.13°, β = 18.13°, γ = 18.13°
Fractional positions:
Tc 0.000 0.000 0.000
Ni 0.835 0.835 0.835
Ru 0.250 0.250 0.250
Ru 0.418 0.418 0.418

---

Q:
TcNiRu2 after structural relaxation. Source: Alexandria, functional PBE.

Values from the calculation:
As for the space-group type: I-4m2 (119).

a = 4.675 Å, b = 4.675 Å, c = 4.675 Å
α = 132.99°, β = 132.99°, γ = 68.66°
Fractional positions:
Tc 0.000 0.000 0.000
Ni 0.750 0.250 0.500
Ru 0.250 0.750 0.500
Ru 0.500 0.500 0.000

---

Pick P: it beats the second-best structure by 5.6 kJ/mol of atoms.

---

P:
TcNiRu2 after structural relaxation. Source: Alexandria, functional PBE.

Values from the calculation:
As for the space-group type: F-43m (216).

a = 4.264 Å, b = 4.264 Å, c = 4.264 Å
α = 60.00°, β = 60.00°, γ = 60.00°
Fractional positions:
Tc 0.000 0.000 0.000
Ni 0.750 0.750 0.750
Ru 0.250 0.250 0.250
Ru 0.500 0.500 0.500

---

Q:
TcNiRu2 after structural relaxation. Source: Alexandria, functional PBE.

Values from the calculation:
As for the space-group type: R-3m (166).

a = 8.788 Å, b = 8.788 Å, c = 8.788 Å
α = 17.62°, β = 17.62°, γ = 17.62°
Fractional positions:
Tc 0.000 0.000 0.000
Ni 0.500 0.500 0.500
Ru 0.249 0.249 0.249
Ru 0.751 0.751 0.751

---

Pick Q: it beats the second-best structure by 26.8 kJ/mol of atoms.

---

P:
TcNiRu2 after structural relaxation. Source: Alexandria, functional PBE.

Values from the calculation:
As for the space-group type: Pmmm (47).

a = 2.687 Å, b = 3.779 Å, c = 5.295 Å
α = 90.00°, β = 90.00°, γ = 90.00°
Fractional positions:
Tc 0.000 0.000 0.000
Ni 0.000 0.000 0.500
Ru 0.500 0.500 0.256
Ru 0.500 0.500 0.744

---

Q:
TcNiRu2 after structural relaxation. Source: Alexandria, functional PBE.

Values from the calculation:
As for the space-group type: Cmmm (65).

a = 2.644 Å, b = 2.644 Å, c = 8.828 Å
α = 90.00°, β = 90.00°, γ = 116.06°
Fractional positions:
Tc 0.000 0.000 0.000
Ni 0.000 0.000 0.500
Ru 0.500 0.500 0.256
Ru 0.500 0.500 0.744

---

Pick P: it beats the second-best structure by 30.0 kJ/mol of atoms.